Material: LaScSnPb
Method: DFT, PBE
State: relaxed

Cell lengths 5.404, 5.404, 5.404 Å; angles 60.00, 60.00, 60.00 degrees
Last column: magnetic moment on the atom in μB.
Fractional coordinates of all 4 atoms:
Sn1 0.250 0.250 0.250  0.01
Sc1 0.500 0.500 0.500  0.06
Pb1 0.750 0.750 0.750  0.00
La1 0.000 0.000 0.000  0.02

Values from the calculation:
total moment = 0.2 Bohr magnetons per cell
energy relative to the elements = -0.45 eV per atom
crystal system = cubic

=====

Material: LaScTlPb
Method: DFT, PBE
State: relaxed

Cell lengths 5.425, 5.425, 5.425 Å; angles 60.00, 60.00, 60.00 degrees
Fractional coordinates of all 4 atoms:
Pb1 0.250 0.250 0.250
La1 0.500 0.500 0.500
Tl1 0.750 0.750 0.750
Sc1 0.000 0.000 0.000

Values from the calculation:
total moment = 0.0 Bohr magnetons per cell
energy relative to the elements = -0.36 eV per atom
crystal system = cubic

=====

Material: La2ScZnPb
Method: DFT, PBE
State: relaxed

Cell lengths 5.632, 5.137, 5.632 Å; angles 90.00, 90.00, 90.00 degrees
Last column: magnetic moment on the atom in μB.
Fractional coordinates of all 5 atoms:
Sc1 0.000 0.000 0.000  0.32
La1 0.500 0.000 0.000  0.10
Pb1 0.500 0.500 0.500  0.01
La2 0.000 0.000 0.500  0.12
Zn1 0.000 0.500 0.000  0.01

Values from the calculation:
total moment = 0.8 Bohr magnetons per cell
energy relative to the elements = 0.40 eV per atom
crystal system = tetragonal

=====

Material: LaPb2Se
Method: DFT, PBE
State: relaxed

Cell lengths 6.552, 6.552, 6.552 Å; angles 145.81, 129.90, 62.06 degrees
Fractional coordinates of all 4 atoms:
Se1 0.518 0.518 0.000
Pb1 0.999 0.999 0.000
La1 0.721 0.221 0.500
Pb2 0.262 0.762 0.500

Values from the calculation:
total moment = 0.0 Bohr magnetons per cell
raw formation energy = -586 meV/atom
crystal system = orthorhombic

=====

Number 1: Fermi-level density of states 6.032 states/eV/f.u.. Number 2: Fermi-level density of states 3.352 states/eV/f.u.. Number 3: Fermi-level density of states 6.339 states/eV/f.u.. Number 4: Fermi-level density of states 1.910 states/eV/f.u..